Record 1
Computed, not measured: a relaxed Dy3Mg2UN6 crystal at the PBE level of DFT.

The space group is C2/m (No. 12) and the conventional cell measures 5.836, 10.131 and 5.860 Å, with angles of 90.00, 109.07 and 90.00 degrees. Symmetry generates all atoms from Dy at (0.000, 0.000, 0.000), Dy at (0.000, 0.329, 0.000), Mg at (0.000, 0.165, 0.500), U at (0.000, 0.500, 0.500), N at (0.235, 0.500, 0.264) and N at (0.240, 0.341, 0.743).

The calculation puts the total energy at -7.890 eV/atom. The crystal system is monoclinic. The formation energy (no corrections) comes out at -1.37 eV per atom.

---

Record 2
Computed, not measured: a relaxed Dy2MgUN4 crystal at the PBE level of DFT.

The space group is P2/m (No. 10) and the conventional cell measures 5.755, 3.445 and 5.881 Å, with angles of 90.00, 108.01 and 90.00 degrees. Symmetry generates all atoms from Dy at (0.000, 0.000, 0.000), Dy at (0.500, 0.500, 0.000), Mg at (0.000, 0.500, 0.500), U at (0.500, 0.000, 0.500), N at (0.255, 0.500, 0.262) and N at (0.265, 0.000, 0.735).

The calculation puts the total energy at -8.308 eV/atom. The crystal system is monoclinic. The formation energy (no corrections) comes out at -1.38 eV per atom.

---

Record 3
Computed, not measured: a relaxed DyMg2WN4 crystal at the PBE level of DFT.

The space group is Pmn2_1 (No. 31) and the conventional cell measures 7.498, 6.219 and 4.625 Å, with angles of 90.00, 90.00 and 90.00 degrees. Symmetry generates all atoms from Dy at (0.000, 0.161, 0.000), Mg at (0.249, 0.335, 0.504), W at (0.000, 0.819, 0.524), N at (0.000, 0.145, 0.502), N at (0.000, 0.803, 0.965) and N at (0.225, 0.673, 0.492).

The calculation puts the total energy at -7.669 eV/atom. The crystal system is orthorhombic. The formation energy (no corrections) comes out at -0.91 eV per atom.

---

Record 4
Computed, not measured: a relaxed NaDy2Mg crystal at the PBE level of DFT.

The space group is R-3m (No. 166, hexagonal axes) and the conventional cell measures 3.4206, 3.4206 and 37.1205 Å, with angles of 90.00, 90.00 and 120.00 degrees. Symmetry generates all atoms from Na at (0.0000, 0.0000, 0.0000), Dy at (0.0000, 0.0000, 0.0949) and Mg at (0.0000, 0.0000, 0.5000).

The calculation puts the total energy at -2.844 eV/atom. The crystal system is trigonal. The calculation puts the relative energy among the computed polymorphs at 45 meV/atom.

---

Record 5
Computed, not measured: a relaxed NaDyMg4 crystal at the PBE level of DFT.

The space group is F-43m (No. 216) and the conventional cell measures 8.597, 8.597 and 8.597 Å, with angles of 90.00, 90.00 and 90.00 degrees. Symmetry generates all atoms from Na at (0.000, 0.000, 0.000), Dy at (0.250, 0.250, 0.250) and Mg at (0.124, 0.124, 0.624).

The calculation puts the total energy at -1.996 eV/atom. The crystal system is cubic.

---

Record 6
Computed, not measured: a relaxed NaDyMg crystal at the PBE level of DFT.

The space group is P4/nmm (No. 129, origin choice 2) and the conventional cell measures 3.979, 3.979 and 12.318 Å, with angles of 90.00, 90.00 and 90.00 degrees. Symmetry generates all atoms from Na at (0.250, 0.250, 0.084), Dy at (0.250, 0.250, 0.719) and Mg at (0.250, 0.750, 0.500).

The calculation puts the total energy at -2.149 eV/atom. The crystal system is tetragonal. The calculation puts the relative energy among the computed polymorphs at 221 meV/atom.

---

Record 7
Computed, not measured: a relaxed NaDyMg crystal at the PBE level of DFT.

The space group is P3m1 (No. 156) and the conventional cell measures 3.4146, 3.4146 and 8.8452 Å, with angles of 90.00, 90.00 and 120.00 degrees. Symmetry generates all atoms from Na at (0.0000, 0.0000, 0.0000), Dy at (0.3333, 0.6667, 0.6357) and Mg at (0.6667, 0.3333, 0.3303).

The calculation puts the total energy at -2.370 eV/atom. The crystal system is trigonal. The calculation puts the relative energy among the computed polymorphs at 0 meV/atom.

---

Record 8
Computed, not measured: a relaxed NaDy4Mg5 crystal at the PBE level of DFT.

The space group is P4/mmm (No. 123) and the conventional cell measures 3.755, 3.755 and 19.552 Å, with angles of 90.00, 90.00 and 90.00 degrees. Symmetry generates all atoms from Na at (0.000, 0.000, 0.000), Dy at (0.000, 0.000, 0.210), Dy at (0.000, 0.000, 0.403), Mg at (0.500, 0.500, 0.109), Mg at (0.500, 0.500, 0.307) and Mg at (0.500, 0.500, 0.500).

The calculation puts the total energy at -2.802 eV/atom. The crystal system is tetragonal.

---

Record 9
Computed, not measured: a relaxed NaDy2Mg crystal at the PBE level of DFT.

The space group is P4/mmm (No. 123) and the conventional cell measures 3.755, 3.755 and 8.564 Å, with angles of 90.00, 90.00 and 90.00 degrees. Symmetry generates all atoms from Na at (0.000, 0.000, 0.000), Dy at (0.500, 0.500, 0.289) and Mg at (0.000, 0.000, 0.500).

The calculation puts the total energy at -2.890 eV/atom. The crystal system is tetragonal. The calculation puts the relative energy among the computed polymorphs at 0 meV/atom.

---

Record 10
Computed, not measured: a relaxed NaDyMg17 crystal at the PBE level of DFT.

The space group is R3m (No. 160, hexagonal axes) and the conventional cell measures 10.3097, 10.3097 and 15.3407 Å, with angles of 90.00, 90.00 and 120.00 degrees. Symmetry generates all atoms from Na at (0.0000, 0.0000, 0.0000), Dy at (0.0000, 0.0000, 0.3313), Mg at (0.0000, 0.0000, 0.5602), Mg at (0.0000, 0.0000, 0.7592), Mg at (0.0025, 0.5012, 0.8131), Mg at (0.0064, 0.5032, 0.1568), Mg at (0.0292, 0.3612, 0.3255) and Mg at (0.1712, 0.3423, 0.8403).

The calculation puts the total energy at -1.711 eV/atom. The crystal system is trigonal.

---

Record 11
Computed, not measured: a relaxed Na2DyMgPb2 crystal at the PBE level of DFT.

The space group is Pmc2_1 (No. 26) and the conventional cell measures 4.942, 9.332 and 7.389 Å, with angles of 90.00, 90.00 and 90.00 degrees. Symmetry generates all atoms from Na at (0.000, 0.060, 0.000), Na at (0.500, 0.164, 0.290), Dy at (0.500, 0.470, 0.959), Mg at (0.000, 0.312, 0.634), Pb at (0.000, 0.380, 0.228) and Pb at (0.500, 0.174, 0.736).

The calculation puts the total energy at -2.968 eV/atom. The crystal system is orthorhombic.

---

Record 12
Computed, not measured: a relaxed NaDyMgPb crystal at the PBE level of DFT.

The space group is F-43m (No. 216) and the conventional cell measures 7.584, 7.584 and 7.584 Å, with angles of 90.00, 90.00 and 90.00 degrees. Symmetry generates all atoms from Na at (0.000, 0.000, 0.000), Dy at (0.000, 0.000, 0.500), Mg at (0.250, 0.250, 0.250) and Pb at (0.250, 0.250, 0.750).

The calculation puts the total energy at -2.962 eV/atom. The crystal system is cubic.

---

Record 13
Computed, not measured: a relaxed NaDy2MgSe4 crystal at the PBE level of DFT.

The space group is P2/m (No. 10) and the conventional cell measures 7.005, 4.026 and 7.143 Å, with angles of 90.00, 108.56 and 90.00 degrees. Symmetry generates all atoms from Na at (0.000, 0.000, 0.000), Dy at (0.000, 0.500, 0.500), Dy at (0.500, 0.000, 0.500), Mg at (0.500, 0.500, 0.000), Se at (0.260, 0.000, 0.758) and Se at (0.260, 0.500, 0.251).

The calculation puts the total energy at -4.808 eV/atom. The crystal system is monoclinic. The formation energy (no corrections) comes out at -1.55 eV per atom.

---

Record 14
Computed, not measured: a relaxed NaDyMgSn crystal at the PBE level of DFT.

The space group is F-43m (No. 216) and the conventional cell measures 7.476, 7.476 and 7.476 Å, with angles of 90.00, 90.00 and 90.00 degrees. Symmetry generates all atoms from Na at (0.000, 0.000, 0.000), Dy at (0.000, 0.000, 0.500), Mg at (0.250, 0.250, 0.750) and Sn at (0.250, 0.250, 0.250).

The calculation puts the total energy at -3.111 eV/atom. The crystal system is cubic.

---

Record 15
Computed, not measured: a relaxed NaDy2MgTe4 crystal at the PBE level of DFT.

The space group is I-4m2 (No. 119) and the conventional cell measures 6.180, 6.180 and 12.489 Å, with angles of 90.00, 90.00 and 90.00 degrees. Symmetry generates all atoms from Na at (0.000, 0.000, 0.000), Dy at (0.000, 0.000, 0.500), Dy at (0.000, 0.500, 0.250), Mg at (0.000, 0.500, 0.750), Te at (0.000, 0.000, 0.253) and Te at (0.000, 0.500, 0.502).

The calculation puts the total energy at -4.217 eV/atom. The crystal system is tetragonal. The formation energy (no corrections) comes out at -1.13 eV per atom.

---

Record 16
Computed, not measured: a relaxed DyMgNb crystal at the PBE level of DFT.

The space group is Fmmm (No. 69) and the conventional cell measures 5.265, 7.664 and 16.167 Å, with angles of 90.00, 90.00 and 90.00 degrees. Symmetry generates all atoms from Dy at (0.000, 0.000, 0.102), Mg at (0.250, 0.250, 0.250) and Nb at (0.000, 0.156, 0.500).

The calculation puts the total energy at -4.944 eV/atom. The crystal system is orthorhombic.

---

Record 17
Computed, not measured: a relaxed Nd9Dy2Mg crystal at the PBE level of DFT.

The space group is P4/mmm (No. 123) and the conventional cell measures 5.108, 5.108 and 15.443 Å, with angles of 90.00, 90.00 and 90.00 degrees. Symmetry generates all atoms from Nd at (0.000, 0.000, 0.000), Nd at (0.000, 0.000, 0.331), Nd at (0.000, 0.500, 0.164), Nd at (0.000, 0.500, 0.500), Dy at (0.500, 0.500, 0.331) and Mg at (0.500, 0.500, 0.000).

The calculation puts the total energy at -4.467 eV/atom. The crystal system is tetragonal.

---

Record 18
Computed, not measured: a relaxed Nd12DyMg3 crystal at the PBE level of DFT.

The space group is P4/mmm (No. 123) and the conventional cell measures 5.060, 5.060 and 20.397 Å, with angles of 90.00, 90.00 and 90.00 degrees. Symmetry generates all atoms from Nd at (0.000, 0.000, 0.000), Nd at (0.000, 0.000, 0.247), Nd at (0.000, 0.000, 0.500), Nd at (0.000, 0.500, 0.124), Nd at (0.000, 0.500, 0.372), Dy at (0.500, 0.500, 0.500), Mg at (0.500, 0.500, 0.000) and Mg at (0.500, 0.500, 0.246).

The calculation puts the total energy at -4.162 eV/atom. The crystal system is tetragonal.

---

Record 19
Computed, not measured: a relaxed NdDy2Mg5 crystal at the PBE level of DFT.

The space group is I4/mmm (No. 139) and the conventional cell measures 5.283, 5.283 and 15.235 Å, with angles of 90.00, 90.00 and 90.00 degrees. Symmetry generates all atoms from Nd at (0.000, 0.000, 0.000), Dy at (0.000, 0.000, 0.258), Mg at (0.000, 0.000, 0.500) and Mg at (0.000, 0.500, 0.122).

The calculation puts the total energy at -2.830 eV/atom. The crystal system is tetragonal.

---

Record 20
Computed, not measured: a relaxed Nd6Dy2Mg crystal at the PBE level of DFT.

The space group is P4_2/mnm (No. 136) and the conventional cell measures 10.780, 10.780 and 5.147 Å, with angles of 90.00, 90.00 and 90.00 degrees. Symmetry generates all atoms from Nd at (0.002, 0.332, 0.000), Nd at (0.162, 0.838, 0.500), Dy at (0.169, 0.169, 0.500) and Mg at (0.000, 0.000, 0.000).

The calculation puts the total energy at -4.357 eV/atom. The crystal system is tetragonal. The calculation puts the relative energy among the computed polymorphs at 0 meV/atom.

---

no.,Fermi-level density of states (states/eV/atom),V (Å³/cell)
1,0.37,327.4
2,0.57,110.9
3,0.19,215.7
4,0.98,376.1
5,0.62,635.5
6,0.96,195.1
7,0.92,89.3
8,1.05,275.7
9,1.02,120.7
10,0.45,1412.1
11,0.48,340.7
12,0.35,436.3
13,0.37,191.0
14,0.35,417.8
15,0.43,477.0
16,0.75,652.5
17,1.39,402.9
18,1.62,522.2
19,0.75,425.2
20,1.48,598.2